Version A
Entry from Alexandria via LeMat-Bulk: crystalline MgAlAu3 at its relaxed geometry (PBE-GGA).

## Properties
**Mass density**: 9.46 g/cm³

Cell: 4.8301 4.8301 4.8301 Å, 90.00 90.00 90.00°
Element x y z (fractional)
Mg1 0.0000 0.0000 0.0000
Al1 0.5000 0.5000 0.5000
Au1 0.0000 0.5000 0.5000
Au2 0.5000 0.0000 0.5000
Au3 0.5000 0.5000 0.0000

---

Version B
Entry from Alexandria via LeMat-Bulk: crystalline MgAlAu3 at its relaxed geometry (PBE-GGA).

## Properties
**Mass density**: 12.16 g/cm³

Cell: 7.7678 5.2102 9.4836 Å, 90.00 113.92 90.00°
Element x y z (fractional)
Mg1 0.2325 0.1543 0.0181
Mg2 0.2325 0.3457 0.5181
Mg3 0.7675 0.6543 0.4819
Mg4 0.7675 0.8457 0.9819
Al1 0.3359 0.6591 0.8771
Al2 0.3359 0.8409 0.3771
Al3 0.6641 0.1591 0.6229
Al4 0.6641 0.3409 0.1229
Au1 0.0513 0.1527 0.2136
Au2 0.0513 0.3473 0.7136
Au3 0.1706 0.6533 0.0949
Au4 0.1706 0.8467 0.5949
Au5 0.4471 0.1771 0.8420
Au6 0.4471 0.3229 0.3420
Au7 0.5529 0.6771 0.6580
Au8 0.5529 0.8229 0.1580
Au9 0.8294 0.1533 0.4051
Au10 0.8294 0.3467 0.9051
Au11 0.9487 0.6527 0.2864
Au12 0.9487 0.8473 0.7864

---

Version C
Entry from Alexandria via LeMat-Bulk: crystalline MgAlAu3 at its relaxed geometry (PBE-GGA).

## Properties
**Mass density**: 8.65 g/cm³

Cell: 4.9765 4.9765 4.9765 Å, 90.00 90.00 90.00°
Element x y z (fractional)
Mg1 0.0000 0.0000 0.0000
Al1 0.5000 0.5000 0.5000
Au1 0.0000 0.0000 0.5000
Au2 0.0000 0.5000 0.0000
Au3 0.5000 0.0000 0.0000

---

Relative energies with respect to the most stable structure, expressed in meV per atom: version A 455; version B 0; version C 856.